[1]
The following is a GGA-PBE calculation of crystalline NaHfAsS at its relaxed geometry, from Alexandria.

a b c (Å): 3.797 3.797 7.436
angles (deg): 90.02 104.79 120.00
Fractional positions:
1 S 0.494 0.145 0.655
2 As 0.112 0.954 0.081
3 Hf 0.304 0.550 0.870
4 Na 0.968 0.382 0.365

Results
Energy relative to the elements, uncorrected = -1087 meV/atom

[2]
The following is a GGA-PBE calculation of crystalline NaHfAsSe at its relaxed geometry, from Alexandria.

a b c (Å): 3.882 3.883 7.568
angles (deg): 90.01 104.86 120.00
Fractional positions:
1 Se 0.492 0.144 0.651
2 Na 0.963 0.380 0.357
3 Hf 0.312 0.554 0.882
4 As 0.111 0.953 0.080

Results
Energy relative to the elements, uncorrected = -1026 meV/atom

[3]
The following is a GGA-PBE calculation of crystalline NaHfSn2As at its relaxed geometry, from Alexandria.

a b c (Å): 5.548 5.548 5.044
angles (deg): 90.00 90.00 90.00
Fractional positions:
1 Sn 0.500 0.000 0.000
2 Hf 0.000 0.000 0.500
3 As 0.000 0.000 0.000
4 Sn 0.000 0.500 0.000
5 Na 0.500 0.500 0.500

Results
Energy relative to the elements = 185.0 kJ/mol of formula units

[4]
The following is a GGA-PBE calculation of crystalline Na2Hf2Te6As at its relaxed geometry, from Alexandria.

a b c (Å): 7.179 7.179 8.020
angles (deg): 97.88 97.88 119.58
Fractional positions:
1 Te 0.939 0.604 0.291
2 Hf 0.344 0.656 0.500
3 As 0.000 0.000 0.500
4 Te 0.744 0.744 0.725
5 Hf 0.656 0.344 0.500
6 Te 0.396 0.061 0.709
7 Na 0.171 0.829 0.000
8 Te 0.604 0.939 0.291
9 Te 0.256 0.256 0.275
10 Na 0.829 0.171 0.000
11 Te 0.061 0.396 0.709

Results
Energy relative to the elements, uncorrected = -637 meV/atom

[5]
The following is a GGA-PBE calculation of crystalline NaHfZr2As at its relaxed geometry, from Alexandria.

a b c (Å): 4.921 4.933 4.921
angles (deg): 90.00 90.00 90.00
Fractional positions:
1 Zr 0.000 0.000 0.500
2 Zr 0.500 0.000 0.000
3 Hf 0.000 0.500 0.000
4 As 0.500 0.500 0.500
5 Na 0.000 0.000 0.000

Results
E above lowest polymorph = 0.644 eV per atom
Energy relative to the elements = 664.6 kJ/mol of formula units

[6]
The following is a GGA-PBE calculation of crystalline NaHfZr2As at its relaxed geometry, from Alexandria.

a b c (Å): 5.245 5.177 5.245
angles (deg): 90.00 90.00 90.00
Fractional positions:
1 As 0.000 0.500 0.000
2 Zr 0.500 0.000 0.000
3 Na 0.500 0.500 0.500
4 Hf 0.000 0.000 0.000
5 Zr 0.000 0.000 0.500

Results
E above lowest polymorph = 0.000 eV per atom
Energy relative to the elements = 353.9 kJ/mol of formula units

[7]
The following is a GGA-PBE calculation of crystalline HfNb2As2 at its relaxed geometry, from Alexandria.

a b c (Å): 4.770 4.770 4.974
angles (deg): 74.89 74.89 58.90
Fractional positions:
1 As 0.371 0.871 0.795
2 Hf 0.000 0.500 0.000
3 Nb 0.784 0.284 0.627
4 As 0.629 0.129 0.205
5 Nb 0.216 0.716 0.373

Results
E above lowest polymorph = 0.220 eV per atom
Energy relative to the elements = -159.6 kJ/mol of formula units

[8]
The following is a GGA-PBE calculation of crystalline Hf3NbAs4 at its relaxed geometry, from Alexandria.

a b c (Å): 5.276 7.890 8.598
angles (deg): 90.00 90.00 90.00
Fractional positions:
1 As 0.564 0.662 0.206
2 As 0.064 0.914 0.000
3 Hf 0.064 0.097 0.500
4 As 0.564 0.662 0.794
5 As 0.564 0.086 0.500
6 As 0.064 0.338 0.294
7 As 0.064 0.751 0.500
8 Hf 0.564 0.345 0.707
9 Nb 0.064 0.238 0.000
10 Hf 0.564 0.903 0.000
11 Nb 0.564 0.762 0.500
12 Hf 0.564 0.345 0.293
13 As 0.564 0.249 0.000
14 As 0.064 0.338 0.706
15 Hf 0.064 0.655 0.793
16 Hf 0.064 0.655 0.207

Results
Energy relative to the elements = -427.3 kJ/mol of formula units

[9]
The following is a GGA-PBE calculation of crystalline HfNb2As3 at its relaxed geometry, from Alexandria.

a b c (Å): 3.537 6.288 10.145
angles (deg): 90.00 90.00 90.00
Fractional positions:
1 Nb 0.000 0.497 0.777
2 Hf 0.000 0.008 0.887
3 As 0.000 0.808 0.616
4 Nb 0.500 0.010 0.462
5 As 0.000 0.308 0.384
6 As 0.500 0.200 0.713
7 Nb 0.000 0.997 0.223
8 As 0.500 0.678 0.936
9 Hf 0.000 0.508 0.113
10 Nb 0.500 0.510 0.538
11 As 0.500 0.178 0.064
12 As 0.500 0.700 0.287

Results
Energy relative to the elements = -395.8 kJ/mol of formula units

[10]
The following is a GGA-PBE calculation of crystalline Hf2NbAs2 at its relaxed geometry, from Alexandria.

a b c (Å): 5.376 7.266 6.744
angles (deg): 122.60 113.49 90.00
Fractional positions:
1 Hf 0.172 0.313 0.345
2 Hf 0.828 0.687 0.655
3 Nb 0.750 0.500 0.000
4 Hf 0.672 0.032 0.345
5 As 0.594 0.300 0.189
6 As 0.906 0.111 0.811
7 As 0.406 0.700 0.811
8 Hf 0.328 0.968 0.655
9 Nb 0.250 0.500 0.000
10 As 0.094 0.889 0.189

Results
E above lowest polymorph = 0.129 eV per atom
Energy relative to the elements = -307.3 kJ/mol of formula units

[11]
The following is a GGA-PBE calculation of crystalline HfNb3As3 at its relaxed geometry, from Alexandria.

a b c (Å): 6.961 6.961 7.720
angles (deg): 63.20 63.20 60.00
Fractional positions:
1 As 0.229 0.652 0.212
2 As 0.348 0.093 0.788
3 Nb 0.516 0.769 0.626
4 As 0.652 0.907 0.212
5 Nb 0.484 0.231 0.374
6 As 0.771 0.348 0.788
7 Hf 0.332 0.332 0.003
8 Nb 0.088 0.516 0.626
9 Nb 0.769 0.088 0.626
10 Nb 0.231 0.912 0.374
11 Nb 0.912 0.484 0.374
12 As 0.907 0.229 0.212
13 As 0.093 0.771 0.788
14 Hf 0.668 0.668 0.997

Results
Energy relative to the elements = -294.3 kJ/mol of formula units

[12]
The following is a GGA-PBE calculation of crystalline HfNb2As2 at its relaxed geometry, from Alexandria.

a b c (Å): 7.202 7.202 3.420
angles (deg): 90.00 90.00 90.00
Fractional positions:
1 As 0.148 0.352 0.000
2 Hf 0.500 0.500 0.000
3 Hf 0.000 0.000 0.000
4 As 0.852 0.648 0.000
5 As 0.648 0.148 0.000
6 As 0.352 0.852 0.000
7 Nb 0.148 0.648 0.500
8 Nb 0.648 0.852 0.500
9 Nb 0.852 0.352 0.500
10 Nb 0.352 0.148 0.500

Results
E above lowest polymorph = 0.000 eV per atom
Energy relative to the elements = -265.5 kJ/mol of formula units

Repeat the fourth record exactly.
The following is a GGA-PBE calculation of crystalline Na2Hf2Te6As at its relaxed geometry, from Alexandria.

a b c (Å): 7.179 7.179 8.020
angles (deg): 97.88 97.88 119.58
Fractional positions:
1 Te 0.939 0.604 0.291
2 Hf 0.344 0.656 0.500
3 As 0.000 0.000 0.500
4 Te 0.744 0.744 0.725
5 Hf 0.656 0.344 0.500
6 Te 0.396 0.061 0.709
7 Na 0.171 0.829 0.000
8 Te 0.604 0.939 0.291
9 Te 0.256 0.256 0.275
10 Na 0.829 0.171 0.000
11 Te 0.061 0.396 0.709

Results
Energy relative to the elements, uncorrected = -637 meV/atom